(1)
# Re2PbW, optimized geometry, DFT PBE
# Space group = Cmmm (65)
# Crystal system = orthorhombic
# Mass density = 17.2 g/cm³
# ΔH_f (0 K) = 0.763 eV/atom
data_Re2PbW
_chemical_formula_sum 'Re2 Pb1 W1'
_space_group_name_H-M_alt 'P 1'
_space_group_IT_number 1
_cell_length_a 2.856
_cell_length_b 2.856
_cell_length_c 9.753
_cell_angle_alpha 90.00
_cell_angle_beta 90.00
_cell_angle_gamma 112.04
loop_
_space_group_symop_operation_xyz
'x,y,z'
loop_
_atom_site_label
_atom_site_fract_x
_atom_site_fract_y
_atom_site_fract_z
Re1 0.000 0.000 0.213
Re2 0.000 0.000 0.787
Pb1 0.500 0.500 0.500
W1 0.500 0.500 0.000

---

(2)
# Re2PbW, optimized geometry, DFT PBE
# Space group = I-42d (122)
# Crystal system = tetragonal
# Mass density = 16.0 g/cm³
# ΔH_f (0 K) = 1.296 eV/atom
data_Re2PbW
_chemical_formula_sum 'Re4 Pb2 W2'
_space_group_name_H-M_alt 'P 1'
_space_group_IT_number 1
_cell_length_a 6.039
_cell_length_b 6.039
_cell_length_c 6.039
_cell_angle_alpha 101.86
_cell_angle_beta 101.86
_cell_angle_gamma 126.09
loop_
_space_group_symop_operation_xyz
'x,y,z'
loop_
_atom_site_label
_atom_site_fract_x
_atom_site_fract_y
_atom_site_fract_z
Re1 0.072 0.625 0.947
Re2 0.375 0.322 0.447
Re3 0.678 0.125 0.053
Re4 0.875 0.928 0.553
Pb1 0.250 0.750 0.500
Pb2 0.500 0.500 0.000
W1 0.000 0.000 0.000
W2 0.750 0.250 0.500

---

(3)
# Re2PbW, optimized geometry, DFT PBE
# Space group = Pmm2 (25)
# Crystal system = orthorhombic
# Mass density = 17.0 g/cm³
# ΔH_f (0 K) = 0.722 eV/atom
data_Re2PbW
_chemical_formula_sum 'Re2 Pb1 W1'
_space_group_name_H-M_alt 'P 1'
_space_group_IT_number 1
_cell_length_a 2.897
_cell_length_b 3.952
_cell_length_c 6.507
_cell_angle_alpha 90.00
_cell_angle_beta 90.00
_cell_angle_gamma 90.00
loop_
_space_group_symop_operation_xyz
'x,y,z'
loop_
_atom_site_label
_atom_site_fract_x
_atom_site_fract_y
_atom_site_fract_z
Re1 0.000 0.000 0.000
Re2 0.500 0.500 0.162
Pb1 0.500 0.500 0.679
W1 0.000 0.000 0.380

---

(4)
# RePbW, optimized geometry, DFT PBE
# Offset from the most stable computed form = 1.099 eV per formula unit
# Space group = P3m1 (156)
# Crystal system = trigonal
# Mass density = 17.7 g/cm³
# ΔH_f (0 K) = 1.058 eV/atom
data_RePbW
_chemical_formula_sum 'Re1 Pb1 W1'
_space_group_name_H-M_alt 'P 1'
_space_group_IT_number 1
_cell_length_a 4.629
_cell_length_b 4.629
_cell_length_c 2.921
_cell_angle_alpha 90.00
_cell_angle_beta 90.00
_cell_angle_gamma 120.00
loop_
_space_group_symop_operation_xyz
'x,y,z'
loop_
_atom_site_label
_atom_site_fract_x
_atom_site_fract_y
_atom_site_fract_z
Re1 0.000 0.000 0.000
Pb1 0.333 0.667 0.002
W1 0.667 0.333 0.502

---

(5)
# RePb2W, optimized geometry, DFT PBE
# Offset from the most stable computed form = 0.000 eV per formula unit
# Space group = P4mm (99)
# Crystal system = tetragonal
# Mass density = 14.4 g/cm³
# ΔH_f (0 K) = 0.413 eV/atom
data_RePb2W
_chemical_formula_sum 'Re1 Pb2 W1'
_space_group_name_H-M_alt 'P 1'
_space_group_IT_number 1
_cell_length_a 3.214
_cell_length_b 3.214
_cell_length_c 8.772
_cell_angle_alpha 90.00
_cell_angle_beta 90.00
_cell_angle_gamma 90.00
loop_
_space_group_symop_operation_xyz
'x,y,z'
loop_
_atom_site_label
_atom_site_fract_x
_atom_site_fract_y
_atom_site_fract_z
Re1 0.000 0.000 0.000
Pb1 0.000 0.000 0.398
Pb2 0.500 0.500 0.757
W1 0.500 0.500 0.148

---

(6)
# RePb2W, optimized geometry, DFT PBE
# Offset from the most stable computed form = 3.395 eV per formula unit
# Space group = C2/m (12)
# Crystal system = monoclinic
# Mass density = 16.4 g/cm³
# ΔH_f (0 K) = 1.261 eV/atom
data_RePb2W
_chemical_formula_sum 'Re1 Pb2 W1'
_space_group_name_H-M_alt 'P 1'
_space_group_IT_number 1
_cell_length_a 4.955
_cell_length_b 4.955
_cell_length_c 5.423
_cell_angle_alpha 100.56
_cell_angle_beta 100.56
_cell_angle_gamma 37.38
loop_
_space_group_symop_operation_xyz
'x,y,z'
loop_
_atom_site_label
_atom_site_fract_x
_atom_site_fract_y
_atom_site_fract_z
Re1 0.000 0.000 0.000
Pb1 0.252 0.252 0.754
Pb2 0.748 0.748 0.246
W1 0.500 0.500 0.500

---

(7)
# RePbW, optimized geometry, DFT PBE
# Offset from the most stable computed form = 0.146 eV per formula unit
# Space group = P3m1 (156)
# Crystal system = trigonal
# Mass density = 15.6 g/cm³
# ΔH_f (0 K) = 0.741 eV/atom
data_RePbW
_chemical_formula_sum 'Re1 Pb1 W1'
_space_group_name_H-M_alt 'P 1'
_space_group_IT_number 1
_cell_length_a 3.183
_cell_length_b 3.183
_cell_length_c 6.980
_cell_angle_alpha 90.00
_cell_angle_beta 90.00
_cell_angle_gamma 120.00
loop_
_space_group_symop_operation_xyz
'x,y,z'
loop_
_atom_site_label
_atom_site_fract_x
_atom_site_fract_y
_atom_site_fract_z
Re1 0.000 0.000 0.000
Pb1 0.667 0.333 0.621
W1 0.333 0.667 0.240

---

(8)
# RePb2W, optimized geometry, DFT PBE
# Offset from the most stable computed form = 3.721 eV per formula unit
# Space group = Pmmm (47)
# Crystal system = orthorhombic
# Mass density = 16.1 g/cm³
# ΔH_f (0 K) = 1.343 eV/atom
data_RePb2W
_chemical_formula_sum 'Re1 Pb2 W1'
_space_group_name_H-M_alt 'P 1'
_space_group_IT_number 1
_cell_length_a 3.275
_cell_length_b 4.660
_cell_length_c 5.317
_cell_angle_alpha 90.00
_cell_angle_beta 90.00
_cell_angle_gamma 90.00
loop_
_space_group_symop_operation_xyz
'x,y,z'
loop_
_atom_site_label
_atom_site_fract_x
_atom_site_fract_y
_atom_site_fract_z
Re1 0.000 0.000 0.000
Pb1 0.000 0.500 0.500
Pb2 0.500 0.500 0.000
W1 0.500 0.000 0.500

---

(9)
# Re2PbW, optimized geometry, DFT PBE
# Space group = R-3m (166)
# Crystal system = trigonal
# Mass density = 17.7 g/cm³
# ΔH_f (0 K) = 0.658 eV/atom
data_Re2PbW
_chemical_formula_sum 'Re2 Pb1 W1'
_space_group_name_H-M_alt 'P 1'
_space_group_IT_number 1
_cell_length_a 9.613
_cell_length_b 9.613
_cell_length_c 9.613
_cell_angle_alpha 17.71
_cell_angle_beta 17.71
_cell_angle_gamma 17.71
loop_
_space_group_symop_operation_xyz
'x,y,z'
loop_
_atom_site_label
_atom_site_fract_x
_atom_site_fract_y
_atom_site_fract_z
Re1 0.240 0.240 0.240
Re2 0.760 0.760 0.760
Pb1 0.000 0.000 0.000
W1 0.500 0.500 0.500

---

(10)
# Re2PbW, optimized geometry, DFT PBE
# Space group = R3m (160)
# Crystal system = trigonal
# Mass density = 17.8 g/cm³
# ΔH_f (0 K) = 0.658 eV/atom
data_Re2PbW
_chemical_formula_sum 'Re2 Pb1 W1'
_space_group_name_H-M_alt 'P 1'
_space_group_IT_number 1
_cell_length_a 9.851
_cell_length_b 9.851
_cell_length_c 9.851
_cell_angle_alpha 17.00
_cell_angle_beta 17.00
_cell_angle_gamma 17.00
loop_
_space_group_symop_operation_xyz
'x,y,z'
loop_
_atom_site_label
_atom_site_fract_x
_atom_site_fract_y
_atom_site_fract_z
Re1 0.000 0.000 0.000
Re2 0.262 0.262 0.262
Pb1 0.503 0.503 0.503
W1 0.744 0.744 0.744

---

(11)
# RePb2W, optimized geometry, DFT PBE
# Offset from the most stable computed form = 3.643 eV per formula unit
# Space group = Fm-3m (225)
# Crystal system = cubic
# Mass density = 16.6 g/cm³
# ΔH_f (0 K) = 1.323 eV/atom
data_RePb2W
_chemical_formula_sum 'Re1 Pb2 W1'
_space_group_name_H-M_alt 'P 1'
_space_group_IT_number 1
_cell_length_a 4.802
_cell_length_b 4.802
_cell_length_c 4.802
_cell_angle_alpha 60.00
_cell_angle_beta 60.00
_cell_angle_gamma 60.00
loop_
_space_group_symop_operation_xyz
'x,y,z'
loop_
_atom_site_label
_atom_site_fract_x
_atom_site_fract_y
_atom_site_fract_z
Re1 0.000 0.000 0.000
Pb1 0.250 0.250 0.250
Pb2 0.750 0.750 0.750
W1 0.500 0.500 0.500

---

(12)
# RePb4W, optimized geometry, DFT PBE
# Space group = F-43m (216)
# Crystal system = cubic
# Mass density = 12.1 g/cm³
# ΔH_f (0 K) = 1.899 eV/atom
data_RePb4W
_chemical_formula_sum 'Re1 Pb4 W1'
_space_group_name_H-M_alt 'P 1'
_space_group_IT_number 1
_cell_length_a 6.153
_cell_length_b 6.153
_cell_length_c 6.153
_cell_angle_alpha 60.00
_cell_angle_beta 60.00
_cell_angle_gamma 60.00
loop_
_space_group_symop_operation_xyz
'x,y,z'
loop_
_atom_site_label
_atom_site_fract_x
_atom_site_fract_y
_atom_site_fract_z
Re1 0.000 0.000 0.000
Pb1 0.375 0.375 0.375
Pb2 0.375 0.375 0.875
Pb3 0.375 0.875 0.375
Pb4 0.875 0.375 0.375
W1 0.750 0.750 0.750

---

- Which value of mass density does entry 10 give?
  17.8 g/cm³

---

- mass density of number 1 (Re2PbW)?
  17.2 g/cm³

---

- What is the mass density in the twelfth record?
  12.1 g/cm³